Computed, not measured: an optimized crystal structure of Be3Fe2 at the PBE level of DFT.

Cell lengths 9.4897, 9.4897, 9.4897 Å; angles 14.49, 14.49, 14.49 degrees
Closest atoms and distances in Å follow each position.
Positions (direct):
1 Be 0.0000 0.0000 0.0000  6 Fe 2.34, 6 Be 2.39
2 Be 0.2007 0.2007 0.2007  3 Fe 2.31, 9 Be 2.36-2.39
3 Be 0.7993 0.7993 0.7993  3 Fe 2.31, 9 Be 2.36-2.39
4 Fe 0.4002 0.4002 0.4002  6 Be 2.31-2.34, 6 Fe 2.39
5 Fe 0.5998 0.5998 0.5998  6 Be 2.31-2.34, 6 Fe 2.39

Summary:
For the energy above the lowest structure with this stoichiometry, the calculation gives 0.000 eV per formula unit. The value obtained for the formation energy is 31 meV/atom. The total DFT energy (no corrections) is -0.4109 Ry per atom. As for the crystal system: trigonal.